No. 1
Entry from Alexandria via LeMat-Bulk: a relaxed Sr2BeSi crystal (PBE).

a = 5.4985 Å, b = 5.4985 Å, c = 18.9511 Å
α = 90.00°, β = 90.00°, γ = 90.00°
Space group I-42d (No. 122)
Inequivalent atoms, fractional coordinates:
Sr1 0.2486 0.2500 0.1250
Be1 0.0000 0.0000 0.5000
Si1 0.0000 0.0000 0.0000

Its size of the total moment is 0.45 μB per formula unit. As for the density of states at the Fermi level: 13.0 states/eV per cell. Its uncorrected formation energy is 0.764 eV/atom. The energy above the most stable polymorph in this dataset is 882.8 meV/atom.

No. 2
Entry from Alexandria via LeMat-Bulk: a relaxed SrBeSi2 crystal (PBE).

a = 4.2055 Å, b = 4.2055 Å, c = 4.2724 Å
α = 90.00°, β = 90.00°, γ = 90.00°
Space group P4/mmm (No. 123)
Inequivalent atoms, fractional coordinates:
Sr1 0.0000 0.0000 0.0000
Be1 0.5000 0.5000 0.0000
Si1 0.0000 0.5000 0.5000

Its size of the total moment is 0.00 μB per formula unit. As for the density of states at the Fermi level: 1.1 states/eV per cell. Its uncorrected formation energy is 0.401 eV/atom.

No. 3
Entry from Alexandria via LeMat-Bulk: a relaxed Sr2Be2Si3 crystal (PBE).

a = 4.6019 Å, b = 17.9093 Å, c = 6.5468 Å
α = 90.00°, β = 90.00°, γ = 90.00°
Space group Cmcm (No. 63)
Inequivalent atoms, fractional coordinates:
Sr1 0.0000 0.0507 0.2500
Sr2 0.0000 0.1623 0.7500
Be1 0.0000 0.3192 0.5715
Si1 0.0000 0.2255 0.2500
Si2 0.0000 0.4381 0.0694

Its size of the total moment is 0.00 μB per formula unit. As for the density of states at the Fermi level: 9.7 states/eV per cell. Its uncorrected formation energy is -0.136 eV/atom.

No. 4
Entry from Alexandria via LeMat-Bulk: a relaxed SrBeSi2 crystal (PBE).

a = 4.1322 Å, b = 4.1322 Å, c = 9.1501 Å
α = 90.00°, β = 90.00°, γ = 90.00°
Space group I4/mmm (No. 139)
Inequivalent atoms, fractional coordinates:
Sr1 0.0000 0.0000 0.0000
Be1 0.0000 0.0000 0.5000
Si1 0.0000 0.5000 0.2500

Its size of the total moment is 0.00 μB per formula unit. As for the density of states at the Fermi level: 4.8 states/eV per cell. Its uncorrected formation energy is 0.531 eV/atom.

No. 5
Entry from Alexandria via LeMat-Bulk: a relaxed SrBeSi2 crystal (PBE).

a = 3.7524 Å, b = 4.0115 Å, c = 6.2394 Å
α = 89.10°, β = 73.45°, γ = 65.40°
Space group P1 (No. 1)
Inequivalent atoms, fractional coordinates:
Sr1 0.0000 0.0000 0.0000
Be1 0.5928 0.1730 0.5639
Si1 0.4432 0.6982 0.3900
Si2 0.8712 0.5824 0.6401

Its size of the total moment is 0.00 μB per formula unit. As for the density of states at the Fermi level: 1.0 states/eV per cell. Its uncorrected formation energy is -0.054 eV/atom.

No. 6
Entry from Alexandria via LeMat-Bulk: a relaxed SrBeSi3 crystal (PBE).

a = 4.5635 Å, b = 4.5635 Å, c = 4.5635 Å
α = 90.00°, β = 90.00°, γ = 90.00°
Space group Pm-3m (No. 221)
Inequivalent atoms, fractional coordinates:
Sr1 0.0000 0.0000 0.0000
Be1 0.5000 0.5000 0.5000
Si1 0.0000 0.5000 0.5000

Its size of the total moment is 0.00 μB per formula unit. As for the density of states at the Fermi level: 2.2 states/eV per cell. Its uncorrected formation energy is 0.309 eV/atom. The energy above the most stable polymorph in this dataset is 0.0 meV/atom.

No. 7
Entry from Alexandria via LeMat-Bulk: a relaxed Sr2BeSi crystal (PBE).

a = 7.5553 Å, b = 7.5553 Å, c = 7.5553 Å
α = 90.00°, β = 90.00°, γ = 90.00°
Space group Fm-3m (No. 225)
Inequivalent atoms, fractional coordinates:
Sr1 0.2500 0.2500 0.2500
Be1 0.0000 0.0000 0.0000
Si1 0.0000 0.0000 0.5000

Its size of the total moment is 0.00 μB per formula unit. As for the density of states at the Fermi level: 2.4 states/eV per cell. Its uncorrected formation energy is 0.129 eV/atom. The energy above the most stable polymorph in this dataset is 248.3 meV/atom.

No. 8
Entry from Alexandria via LeMat-Bulk: a relaxed SrBeSi2 crystal (PBE).

a = 3.2037 Å, b = 3.4627 Å, c = 6.6649 Å
α = 90.00°, β = 90.00°, γ = 90.00°
Space group Pmmm (No. 47)
Inequivalent atoms, fractional coordinates:
Sr1 0.0000 0.0000 0.0000
Be1 0.0000 0.0000 0.5000
Si1 0.5000 0.5000 0.3283

Its size of the total moment is 0.00 μB per formula unit. As for the density of states at the Fermi level: 1.6 states/eV per cell. Its uncorrected formation energy is 0.137 eV/atom.

No. 9
Entry from Alexandria via LeMat-Bulk: a relaxed SrBe2Si crystal (PBE).

a = 6.6778 Å, b = 3.8603 Å, c = 5.9657 Å
α = 90.00°, β = 112.02°, γ = 90.00°
Space group C2/m (No. 12)
Inequivalent atoms, fractional coordinates:
Sr1 0.0000 0.0000 0.0000
Be1 0.1943 0.0000 0.5831
Si1 0.0000 0.5000 0.5000

Its size of the total moment is 0.62 μB per formula unit. As for the density of states at the Fermi level: 5.5 states/eV per cell. Its uncorrected formation energy is 0.040 eV/atom.

No. 10
Entry from Alexandria via LeMat-Bulk: a relaxed SrBeSi2 crystal (PBE).

a = 4.8336 Å, b = 4.8336 Å, c = 15.1881 Å
α = 90.00°, β = 90.00°, γ = 90.00°
Space group I4_1/amd (No. 141, origin choice 2)
Inequivalent atoms, fractional coordinates:
Sr1 0.0000 0.2500 0.3750
Be1 0.0000 0.2500 0.8750
Si1 0.0000 0.0000 0.0000

Its size of the total moment is 0.00 μB per formula unit. As for the density of states at the Fermi level: 6.3 states/eV per cell. Its uncorrected formation energy is -0.051 eV/atom.

No. 11
Entry from Alexandria via LeMat-Bulk: a relaxed Sr2BeSi2 crystal (PBE).

a = 6.9674 Å, b = 6.9674 Å, c = 4.8771 Å
α = 90.00°, β = 90.00°, γ = 90.00°
Space group P4/mbm (No. 127)
Inequivalent atoms, fractional coordinates:
Sr1 0.1749 0.3251 0.0000
Be1 0.0000 0.0000 0.5000
Si1 0.1261 0.6261 0.5000

Its size of the total moment is 0.33 μB per formula unit. As for the density of states at the Fermi level: 4.6 states/eV per cell. Its uncorrected formation energy is -0.003 eV/atom.

No. 12
Entry from Alexandria via LeMat-Bulk: a relaxed SrBe2Si crystal (PBE).

a = 4.3588 Å, b = 4.7027 Å, c = 6.7717 Å
α = 90.00°, β = 90.00°, γ = 90.00°
Space group Cmmm (No. 65)
Inequivalent atoms, fractional coordinates:
Sr1 0.0000 0.0000 0.0000
Be1 0.0000 0.5000 0.3404
Si1 0.0000 0.0000 0.5000

Its size of the total moment is 0.00 μB per formula unit. As for the density of states at the Fermi level: 4.3 states/eV per cell. Its uncorrected formation energy is 0.434 eV/atom.

Number 1: volume 35.81 Å³/atom. Number 2: volume 18.89 Å³/atom. Number 3: volume 19.27 Å³/atom. Number 4: volume 19.53 Å³/atom. Number 5: volume 20.32 Å³/atom. Number 6: volume 19.01 Å³/atom. Number 7: volume 26.95 Å³/atom. Number 8: volume 18.48 Å³/atom. Number 9: volume 17.82 Å³/atom. Number 10: volume 22.18 Å³/atom. Number 11: volume 23.68 Å³/atom. Number 12: volume 17.35 Å³/atom.